--- 1 ---
MnCd2Re | PBE | relaxed Values from VASP.

Geometry as Quantum ESPRESSO input:
```
&SYSTEM
  ibrav = 0, nat = 4, ntyp = 3
/
ATOMIC_SPECIES
Re 186.21 Re.upf
Cd 112.41 Cd.upf
Mn 54.94 Mn.upf
CELL_PARAMETERS angstrom
5.701 -0.002 0.002
2.836 4.946 -0.002
-3.574 -3.672 2.500
ATOMIC_POSITIONS crystal
Re 0.278 0.778 0.500
Cd 0.734 0.234 0.500
Mn 0.476 0.476 0.000
Cd 0.012 0.012 0.000
```

***

--- 2 ---
MnCd2Re | PBE | relaxed Values from VASP.

Geometry as Quantum ESPRESSO input:
```
&SYSTEM
  ibrav = 0, nat = 4, ntyp = 3
/
ATOMIC_SPECIES
Mn 54.94 Mn.upf
Re 186.21 Re.upf
Cd 112.41 Cd.upf
CELL_PARAMETERS angstrom
-1.934 -3.970 0.077
2.168 -1.082 -1.308
4.594 -2.166 3.676
ATOMIC_POSITIONS crystal
Mn 0.500 0.250 0.250
Re 0.500 0.750 0.750
Cd 0.000 0.500 0.500
Cd 0.000 0.000 0.000
```

***

Most stable to least stable, the ends of the list are 1 and 2.

***

--- 1 ---
CaTlSi2 | PBE | relaxed Values from VASP.

Geometry as Quantum ESPRESSO input:
```
&SYSTEM
  ibrav = 0, nat = 4, ntyp = 3
/
ATOMIC_SPECIES
Ca 40.08 Ca.upf
Tl 204.38 Tl.upf
Si 28.09 Si.upf
CELL_PARAMETERS angstrom
-5.974 0.679 -1.972
-5.867 -2.334 0.415
-3.989 2.273 3.047
ATOMIC_POSITIONS crystal
Ca 0.750 0.750 0.750
Tl 0.250 0.250 0.250
Si 0.014 0.014 0.107
Si 0.486 0.486 0.393
```

***

--- 2 ---
CaTlSi2 | PBE | relaxed Values from VASP.

Geometry as Quantum ESPRESSO input:
```
&SYSTEM
  ibrav = 0, nat = 4, ntyp = 3
/
ATOMIC_SPECIES
Tl 204.38 Tl.upf
Ca 40.08 Ca.upf
Si 28.09 Si.upf
CELL_PARAMETERS angstrom
5.052 0.000 0.000
2.526 4.375 0.000
2.526 1.458 4.125
ATOMIC_POSITIONS crystal
Tl 0.750 0.750 0.750
Ca 0.500 0.500 0.500
Si 0.000 0.000 0.000
Si 0.250 0.250 0.250
```

***

Most stable to least stable, the ends of the list are 1 and 2.